# BaCo2Cu, optimized geometry, DFT GGA-PBE
data_BaCo2Cu
_cell_length_a 4.122
_cell_length_b 4.122
_cell_length_c 6.100
_cell_angle_alpha 70.38
_cell_angle_beta 70.38
_cell_angle_gamma 59.98
_space_group_name_H-M_alt 'P 1'
_space_group_IT_number 1
_space_group_name_Hall 'P 1'
loop_
_atom_site_label
_atom_site_type_symbol
_atom_site_fract_x
_atom_site_fract_y
_atom_site_fract_z
Ba1 Ba 0.747 0.747 0.757
Co1 Co 0.934 0.934 0.198
Co2 Co 0.259 0.259 0.225
Cu1 Cu 0.560 0.560 0.320
# Space group ... Cm, No. 8
# DOS at the Fermi energy ... 0.754 states/eV per atom
# Energy of formation from the pure elements ... 0.173 eV/atom
# Theoretical density ... 6.397 g/cm3